Density functional theory data (PBE) for an optimized crystal structure of KCaAs.

The space group is I4mm (No. 107) and the conventional cell measures 4.130, 4.130 and 12.378 Å, with angles of 90.00, 90.00 and 90.00 degrees. The inequivalent atoms are K at (0.000, 0.000, 0.000), Ca at (0.000, 0.000, 0.740) and As at (0.000, 0.000, 0.278).

As for the total DFT energy (no corrections): -18.959 eV/cell.



Density functional theory data (PBE) for an optimized crystal structure of Sr2CaBe.

The space group is R-3m (No. 166, hexagonal axes) and the conventional cell measures 4.1743, 4.1743 and 32.7917 Å, with angles of 90.00, 90.00 and 120.00 degrees. The inequivalent atoms are Sr at (0.0000, 0.0000, 0.2274), Ca at (0.0000, 0.0000, 0.0000) and Be at (0.0000, 0.0000, 0.5000).

As for the total DFT energy (no corrections): -22.641 eV/cell.



Density functional theory data (PBE) for an optimized crystal structure of Sr3GaAg.

The space group is Cmcm (No. 63) and the conventional cell measures 5.608, 21.998 and 5.602 Å, with angles of 90.00, 90.00 and 90.00 degrees. The inequivalent atoms are Sr at (0.000, 0.076, 0.250), Sr at (0.000, 0.249, 0.250), Sr at (0.000, 0.422, 0.250), Ga at (0.000, 0.157, 0.750) and Ag at (0.000, 0.339, 0.750).

The polymorph energy (0 for the lowest one) comes out at 0.0 kJ per mole of atoms.



Density functional theory data (PBE) for an optimized crystal structure of Hf3Th.

The space group is I4/mmm (No. 139) and the conventional cell measures 4.649, 4.649 and 9.064 Å, with angles of 90.00, 90.00 and 90.00 degrees. The inequivalent atoms are Hf at (0.000, 0.000, 0.000), Hf at (0.000, 0.500, 0.250) and Th at (0.000, 0.000, 0.500).

The polymorph energy (0 for the lowest one) comes out at 0.0 kJ per mole of atoms.